BaCrO2F PBE with a Hubbard U relaxed; symmetry = P4/mmm, No. 123; spin magnetization = 3.01 μB/f.u.; raw total energy = -33.79 eV for the cell shown
1.0
-0.977 -2.177 3.292
3.892 -1.091 0.434
0.655 3.273 2.359
F Ba O Cr
1 1 2 1
Cartesian
0.327 1.636 1.180
1.785 0.002 3.042
1.946 -0.546 0.217
-0.488 -1.089 1.646
0.000 0.000 0.000